A plane-wave DFT calculation with PBE-GGA was carried out for crystalline LaGa6Pd6 at its relaxed geometry.

magnetization = 0.00 μB per formula unit
energy of formation = -8.18 eV/f.u.
density of states at the Fermi level = 7.0 states/eV/cell
theoretical density = 8.9 g/cm3

Unit cell a=6.950 b=6.950 c=6.950 alpha=133.22 beta=104.50 gamma=93.71
Fractional coordinates of all 13 atoms:
La 0.000 0.000 0.000
Ga 0.185 0.685 0.500
Ga 0.346 0.346 0.000
Ga 0.354 0.000 0.354
Ga 0.646 0.000 0.646
Ga 0.654 0.654 0.000
Ga 0.815 0.315 0.500
Pd 0.000 0.000 0.500
Pd 0.000 0.500 0.000
Pd 0.239 0.500 0.739
Pd 0.500 0.000 0.000
Pd 0.500 0.500 0.500
Pd 0.761 0.500 0.261

A plane-wave DFT calculation with PBE-GGA was carried out for crystalline CaGe7Os2 at its relaxed geometry.

magnetization = 0.00 μB per formula unit
energy of formation = 1.71 eV/f.u.
density of states at the Fermi level = 5.1 states/eV/cell
theoretical density = 6.9 g/cm3

Unit cell a=7.815 b=7.815 c=4.062 alpha=90.00 beta=90.00 gamma=115.87
Fractional coordinates of all 10 atoms:
Ca 0.000 0.000 0.000
Ge 0.053 0.345 0.500
Ge 0.224 0.776 0.000
Ge 0.345 0.053 0.500
Ge 0.500 0.500 0.500
Ge 0.655 0.947 0.500
Ge 0.776 0.224 0.000
Ge 0.947 0.655 0.500
Os 0.323 0.677 0.500
Os 0.677 0.323 0.500